Li3PdPt2 | PBE | optimized geometry

```
data_Li3PdPt2
_chemical_formula_sum 'Li3 Pd1 Pt2'
_cell_length_a 2.7572
_cell_length_b 2.7572
_cell_length_c 12.5735
_cell_angle_alpha 90.00
_cell_angle_beta 90.00
_cell_angle_gamma 120.00
_symmetry_space_group_name_H-M 'P 1'
_symmetry_Int_Tables_number 1
loop_
_symmetry_equiv_pos_as_xyz
'x,y,z'
loop_
_atom_site_label
_atom_site_fract_x
_atom_site_fract_y
_atom_site_fract_z
Li1 0.0000 0.0000 0.0000
Li2 0.3333 0.6667 0.6662
Li3 0.6667 0.3333 0.3338
Pd1 0.0000 0.0000 0.5000
Pt1 0.3333 0.6667 0.1669
Pt2 0.6667 0.3333 0.8331
```

Summary:
M_tot in μB/atom: 0.00
DFT total energy in eV per cell: -26.337


LiPd6Pt | PBE | optimized geometry

```
data_LiPd6Pt
_chemical_formula_sum 'Li1 Pd6 Pt1'
_cell_length_a 5.5446
_cell_length_b 5.5446
_cell_length_c 5.5446
_cell_angle_alpha 60.00
_cell_angle_beta 60.00
_cell_angle_gamma 60.00
_symmetry_space_group_name_H-M 'P 1'
_symmetry_Int_Tables_number 1
loop_
_symmetry_equiv_pos_as_xyz
'x,y,z'
loop_
_atom_site_label
_atom_site_fract_x
_atom_site_fract_y
_atom_site_fract_z
Li1 0.0000 0.0000 0.0000
Pd1 0.0000 0.0000 0.5000
Pd2 0.0000 0.5000 0.0000
Pd3 0.0000 0.5000 0.5000
Pd4 0.5000 0.0000 0.0000
Pd5 0.5000 0.0000 0.5000
Pd6 0.5000 0.5000 0.0000
Pt1 0.5000 0.5000 0.5000
```

Summary:
M_tot in μB/atom: 0.00
DFT total energy in eV per cell: -40.672


LiPdPt2 | PBE | optimized geometry

```
data_LiPdPt2
_chemical_formula_sum 'Li4 Pd4 Pt8'
_cell_length_a 6.2086
_cell_length_b 6.2086
_cell_length_c 6.2086
_cell_angle_alpha 90.00
_cell_angle_beta 90.00
_cell_angle_gamma 90.00
_symmetry_space_group_name_H-M 'P 1'
_symmetry_Int_Tables_number 1
loop_
_symmetry_equiv_pos_as_xyz
'x,y,z'
loop_
_atom_site_label
_atom_site_fract_x
_atom_site_fract_y
_atom_site_fract_z
Li1 0.0000 0.0000 0.0000
Li2 0.0000 0.5000 0.5000
Li3 0.5000 0.0000 0.5000
Li4 0.5000 0.5000 0.0000
Pd1 0.2500 0.2500 0.2500
Pd2 0.2500 0.7500 0.7500
Pd3 0.7500 0.2500 0.7500
Pd4 0.7500 0.7500 0.2500
Pt1 0.0000 0.0000 0.5000
Pt2 0.0000 0.5000 0.0000
Pt3 0.2500 0.2500 0.7500
Pt4 0.2500 0.7500 0.2500
Pt5 0.5000 0.0000 0.0000
Pt6 0.5000 0.5000 0.5000
Pt7 0.7500 0.2500 0.2500
Pt8 0.7500 0.7500 0.7500
```

Summary:
M_tot in μB/atom: 0.02
DFT total energy in eV per cell: -80.049


LiPdPt2 | PBE | optimized geometry

```
data_LiPdPt2
_chemical_formula_sum 'Li1 Pd1 Pt2'
_cell_length_a 3.8637
_cell_length_b 3.8637
_cell_length_c 3.9124
_cell_angle_alpha 90.00
_cell_angle_beta 90.00
_cell_angle_gamma 90.00
_symmetry_space_group_name_H-M 'P 1'
_symmetry_Int_Tables_number 1
loop_
_symmetry_equiv_pos_as_xyz
'x,y,z'
loop_
_atom_site_label
_atom_site_fract_x
_atom_site_fract_y
_atom_site_fract_z
Li1 0.0000 0.0000 0.0000
Pd1 0.5000 0.5000 0.0000
Pt1 0.0000 0.5000 0.5000
Pt2 0.5000 0.0000 0.5000
```

Summary:
M_tot in μB/atom: 0.00
DFT total energy in eV per cell: -20.678


Li2Pd3Pt | PBE | optimized geometry

```
data_Li2Pd3Pt
_chemical_formula_sum 'Li2 Pd3 Pt1'
_cell_length_a 2.7658
_cell_length_b 2.7658
_cell_length_c 13.0616
_cell_angle_alpha 90.00
_cell_angle_beta 90.00
_cell_angle_gamma 120.00
_symmetry_space_group_name_H-M 'P 1'
_symmetry_Int_Tables_number 1
loop_
_symmetry_equiv_pos_as_xyz
'x,y,z'
loop_
_atom_site_label
_atom_site_fract_x
_atom_site_fract_y
_atom_site_fract_z
Li1 0.3333 0.6667 0.3396
Li2 0.6667 0.3333 0.6604
Pd1 0.0000 0.0000 0.5000
Pd2 0.3333 0.6667 0.8192
Pd3 0.6667 0.3333 0.1808
Pt1 0.0000 0.0000 0.0000
```

Summary:
M_tot in μB/atom: 0.08
DFT total energy in eV per cell: -27.108


Li2PdPt | PBE | optimized geometry

```
data_Li2PdPt
_chemical_formula_sum 'Li8 Pd4 Pt4'
_cell_length_a 6.1316
_cell_length_b 6.1316
_cell_length_c 6.1316
_cell_angle_alpha 90.00
_cell_angle_beta 90.00
_cell_angle_gamma 90.00
_symmetry_space_group_name_H-M 'P 1'
_symmetry_Int_Tables_number 1
loop_
_symmetry_equiv_pos_as_xyz
'x,y,z'
loop_
_atom_site_label
_atom_site_fract_x
_atom_site_fract_y
_atom_site_fract_z
Li1 0.0000 0.0000 0.0000
Li2 0.0000 0.5000 0.5000
Li3 0.2500 0.2500 0.2500
Li4 0.2500 0.7500 0.7500
Li5 0.5000 0.0000 0.5000
Li6 0.5000 0.5000 0.0000
Li7 0.7500 0.2500 0.7500
Li8 0.7500 0.7500 0.2500
Pd1 0.2500 0.2500 0.7500
Pd2 0.2500 0.7500 0.2500
Pd3 0.7500 0.2500 0.2500
Pd4 0.7500 0.7500 0.7500
Pt1 0.0000 0.0000 0.5000
Pt2 0.0000 0.5000 0.0000
Pt3 0.5000 0.0000 0.0000
Pt4 0.5000 0.5000 0.5000
```

Summary:
M_tot in μB/atom: 0.00
DFT total energy in eV per cell: -66.223


LiSiPdPt | PBE | optimized geometry

```
data_LiSiPdPt
_chemical_formula_sum 'Li4 Si4 Pd4 Pt4'
_cell_length_a 5.9527
_cell_length_b 5.9527
_cell_length_c 5.9527
_cell_angle_alpha 90.00
_cell_angle_beta 90.00
_cell_angle_gamma 90.00
_symmetry_space_group_name_H-M 'P 1'
_symmetry_Int_Tables_number 1
loop_
_symmetry_equiv_pos_as_xyz
'x,y,z'
loop_
_atom_site_label
_atom_site_fract_x
_atom_site_fract_y
_atom_site_fract_z
Li1 0.0000 0.0000 0.0000
Li2 0.0000 0.5000 0.5000
Li3 0.5000 0.0000 0.5000
Li4 0.5000 0.5000 0.0000
Si1 0.0000 0.0000 0.5000
Si2 0.0000 0.5000 0.0000
Si3 0.5000 0.0000 0.0000
Si4 0.5000 0.5000 0.5000
Pd1 0.2500 0.2500 0.2500
Pd2 0.2500 0.7500 0.7500
Pd3 0.7500 0.2500 0.7500
Pd4 0.7500 0.7500 0.2500
Pt1 0.2500 0.2500 0.7500
Pt2 0.2500 0.7500 0.2500
Pt3 0.7500 0.2500 0.2500
Pt4 0.7500 0.7500 0.7500
```

Summary:
M_tot in μB/atom: 0.00
DFT total energy in eV per cell: -85.934


Li2Sn2PdPt | PBE | optimized geometry

```
data_Li2Sn2PdPt
_chemical_formula_sum 'Li2 Sn2 Pd1 Pt1'
_cell_length_a 4.6416
_cell_length_b 4.6416
_cell_length_c 5.6681
_cell_angle_alpha 90.00
_cell_angle_beta 90.00
_cell_angle_gamma 120.00
_symmetry_space_group_name_H-M 'P 1'
_symmetry_Int_Tables_number 1
loop_
_symmetry_equiv_pos_as_xyz
'x,y,z'
loop_
_atom_site_label
_atom_site_fract_x
_atom_site_fract_y
_atom_site_fract_z
Li1 0.0000 0.0000 0.2481
Li2 0.0000 0.0000 0.7519
Sn1 0.3333 0.6667 0.0000
Sn2 0.6667 0.3333 0.5000
Pd1 0.3333 0.6667 0.5000
Pt1 0.6667 0.3333 0.0000
```

Summary:
M_tot in μB/atom: 0.00
DFT total energy in eV per cell: -26.760


Li4Sn2PdPt | PBE | optimized geometry

```
data_Li4Sn2PdPt
_chemical_formula_sum 'Li4 Sn2 Pd1 Pt1'
_cell_length_a 4.4817
_cell_length_b 4.4817
_cell_length_c 6.3339
_cell_angle_alpha 90.00
_cell_angle_beta 90.00
_cell_angle_gamma 90.00
_symmetry_space_group_name_H-M 'P 1'
_symmetry_Int_Tables_number 1
loop_
_symmetry_equiv_pos_as_xyz
'x,y,z'
loop_
_atom_site_label
_atom_site_fract_x
_atom_site_fract_y
_atom_site_fract_z
Li1 0.0000 0.0000 0.0000
Li2 0.0000 0.5000 0.2505
Li3 0.5000 0.0000 0.7495
Li4 0.5000 0.5000 0.5000
Sn1 0.0000 0.5000 0.7494
Sn2 0.5000 0.0000 0.2506
Pd1 0.5000 0.5000 0.0000
Pt1 0.0000 0.0000 0.5000
```

Summary:
M_tot in μB/atom: 0.00
DFT total energy in eV per cell: -31.852


Li2Y2Sn2PdPt | PBE | optimized geometry

```
data_Li2Y2Sn2PdPt
_chemical_formula_sum 'Li2 Y2 Sn2 Pd1 Pt1'
_cell_length_a 4.7587
_cell_length_b 4.7587
_cell_length_c 6.7343
_cell_angle_alpha 90.00
_cell_angle_beta 90.00
_cell_angle_gamma 90.00
_symmetry_space_group_name_H-M 'P 1'
_symmetry_Int_Tables_number 1
loop_
_symmetry_equiv_pos_as_xyz
'x,y,z'
loop_
_atom_site_label
_atom_site_fract_x
_atom_site_fract_y
_atom_site_fract_z
Li1 0.0000 0.0000 0.0000
Li2 0.5000 0.5000 0.5000
Y1 0.0000 0.5000 0.2491
Y2 0.5000 0.0000 0.7509
Sn1 0.0000 0.5000 0.7489
Sn2 0.5000 0.0000 0.2511
Pd1 0.0000 0.0000 0.5000
Pt1 0.5000 0.5000 0.0000
```

Summary:
M_tot in μB/atom: 0.00
DFT total energy in eV per cell: -42.910


Li2Zn2Sn2PdPt | PBE | optimized geometry

```
data_Li2Zn2Sn2PdPt
_chemical_formula_sum 'Li2 Zn2 Sn2 Pd1 Pt1'
_cell_length_a 4.5184
_cell_length_b 4.5184
_cell_length_c 6.3809
_cell_angle_alpha 90.00
_cell_angle_beta 90.00
_cell_angle_gamma 90.00
_symmetry_space_group_name_H-M 'P 1'
_symmetry_Int_Tables_number 1
loop_
_symmetry_equiv_pos_as_xyz
'x,y,z'
loop_
_atom_site_label
_atom_site_fract_x
_atom_site_fract_y
_atom_site_fract_z
Li1 0.0000 0.0000 0.0000
Li2 0.5000 0.5000 0.5000
Zn1 0.0000 0.5000 0.2491
Zn2 0.5000 0.0000 0.7509
Sn1 0.0000 0.5000 0.7494
Sn2 0.5000 0.0000 0.2506
Pd1 0.0000 0.0000 0.5000
Pt1 0.5000 0.5000 0.0000
```

Summary:
M_tot in μB/atom: 0.00
DFT total energy in eV per cell: -29.489


Li2Tl4PdPt | PBE | optimized geometry

```
data_Li2Tl4PdPt
_chemical_formula_sum 'Li2 Tl4 Pd1 Pt1'
_cell_length_a 3.7397
_cell_length_b 8.5082
_cell_length_c 5.8731
_cell_angle_alpha 90.00
_cell_angle_beta 108.33
_cell_angle_gamma 90.00
_symmetry_space_group_name_H-M 'P 1'
_symmetry_Int_Tables_number 1
loop_
_symmetry_equiv_pos_as_xyz
'x,y,z'
loop_
_atom_site_label
_atom_site_fract_x
_atom_site_fract_y
_atom_site_fract_z
Li1 0.0000 0.0000 0.0000
Li2 0.1467 0.5000 0.2915
Tl1 0.4437 0.2903 0.8892
Tl2 0.4437 0.7097 0.8892
Tl3 0.7093 0.2110 0.4154
Tl4 0.7093 0.7890 0.4154
Pd1 0.8432 0.5000 0.6846
Pt1 0.3109 0.0000 0.6224
```

Summary:
M_tot in μB/atom: 0.00
DFT total energy in eV per cell: -25.995